[1]
Density functional theory data (PBE-GGA) for an optimized crystal structure of Li2In4Ge.

Cell: 9.8602 9.8602 9.8602 Å, 60.00 60.00 60.00°
Closest atoms and distances in Å follow each position.
Fractional coordinates of all 28 atoms:
Li (0.1242, 0.7919, 0.7919)  6 In 3.02-3.09, 3 Li 3.28
Li (0.2081, 0.2081, 0.2081)  6 In 3.02-3.09, 3 Li 3.28
Li (0.2081, 0.2081, 0.8758)  6 In 3.02-3.09, 3 Li 3.28
Li (0.2081, 0.8758, 0.2081)  6 In 3.02-3.09, 3 Li 3.28
Li (0.7919, 0.1242, 0.7919)  6 In 3.02-3.09, 3 Li 3.28
Li (0.7919, 0.7919, 0.1242)  6 In 3.02-3.09, 3 Li 3.28
Li (0.7919, 0.7919, 0.7919)  6 In 3.02-3.09, 3 Li 3.28
Li (0.8758, 0.2081, 0.2081)  6 In 3.02-3.09, 3 Li 3.28
In (0.0000, 0.0000, 0.0000)  6 Li 3.02, 6 In 3.20
In (0.0000, 0.0000, 0.5000)  6 Li 3.02, 6 In 3.20
In (0.0000, 0.5000, 0.0000)  6 Li 3.02, 6 In 3.20
In (0.1463, 0.1463, 0.6037)  2 Ge 2.86, 2 Li 3.09, 2 In 3.20
In (0.1463, 0.6037, 0.1463)  2 Ge 2.86, 2 Li 3.09, 2 In 3.20
In (0.1463, 0.6037, 0.6037)  2 Ge 2.86, 2 Li 3.09, 2 In 3.20
In (0.3963, 0.3963, 0.8537)  2 Ge 2.86, 2 Li 3.09, 2 In 3.20
In (0.3963, 0.8537, 0.3963)  2 Ge 2.86, 2 Li 3.09, 2 In 3.20
In (0.3963, 0.8537, 0.8537)  2 Ge 2.86, 2 Li 3.09, 2 In 3.20
In (0.5000, 0.0000, 0.0000)  6 Li 3.02, 6 In 3.20
In (0.6037, 0.1463, 0.1463)  2 Ge 2.86, 2 Li 3.09, 2 In 3.20
In (0.6037, 0.1463, 0.6037)  2 Ge 2.86, 2 Li 3.09, 2 In 3.20
In (0.6037, 0.6037, 0.1463)  2 Ge 2.86, 2 Li 3.09, 2 In 3.20
In (0.8537, 0.3963, 0.3963)  2 Ge 2.86, 2 Li 3.09, 2 In 3.20
In (0.8537, 0.3963, 0.8537)  2 Ge 2.86, 2 Li 3.09, 2 In 3.20
In (0.8537, 0.8537, 0.3963)  2 Ge 2.86, 2 Li 3.09, 2 In 3.20
Ge (0.0000, 0.5000, 0.5000)  6 In 2.86
Ge (0.5000, 0.0000, 0.5000)  6 In 2.86
Ge (0.5000, 0.5000, 0.0000)  6 In 2.86
Ge (0.5000, 0.5000, 0.5000)  6 In 2.86

Values from the calculation:
Symmetry: Fd-3m, No. 227
Calculated total energy: -79.5 eV per cell
V: 24.21 Å³/atom
Total moment: 0.00 μB per formula unit



[2]
Density functional theory data (PBE-GGA) for an optimized crystal structure of TbPr3Ga4.

Cell: 3.6895 3.6895 14.7892 Å, 90.00 90.00 90.00°
Closest atoms and distances in Å follow each position.
Fractional coordinates of all 8 atoms:
Tb (0.0000, 0.0000, 0.0000)  8 Ga 3.11
Pr (0.0000, 0.0000, 0.2448)  8 Ga 3.22-3.25
Pr (0.0000, 0.0000, 0.5000)  8 Ga 3.22
Pr (0.0000, 0.0000, 0.7552)  8 Ga 3.22-3.25
Ga (0.5000, 0.5000, 0.1140)  4 Tb 3.11, 4 Pr 3.25, 1 Ga 3.37
Ga (0.5000, 0.5000, 0.3725)  8 Pr 3.22
Ga (0.5000, 0.5000, 0.6275)  8 Pr 3.22
Ga (0.5000, 0.5000, 0.8860)  4 Tb 3.11, 4 Pr 3.25, 1 Ga 3.37

Values from the calculation:
Symmetry: P4/mmm, No. 123
Calculated total energy: -35.5 eV per cell
V: 25.16 Å³/atom
Total moment: 0.00 μB per formula unit



[3]
Density functional theory data (PBE-GGA) for an optimized crystal structure of ThOsW.

Cell: 11.0378 10.3674 5.2989 Å, 82.82 68.73 28.44°
Closest atoms and distances in Å follow each position.
Fractional coordinates of all 12 atoms:
Th (0.0446, 0.7054, 0.0446)  4 W 2.91-2.97, 3 Th 3.01-3.13
Th (0.2946, 0.9554, 0.2946)  4 W 2.91-2.97, 3 Th 3.01-3.13
Th (0.7054, 0.0446, 0.7054)  4 W 2.91-2.97, 3 Th 3.01-3.13
Th (0.9554, 0.2946, 0.9554)  4 W 2.91-2.97, 3 Th 3.01-3.13
Os (0.3100, 0.3100, 0.4400)  1 Os 2.61, 4 W 2.89-2.90
Os (0.4400, 0.4400, 0.3100)  1 Os 2.61, 4 W 2.89-2.90
Os (0.5600, 0.5600, 0.6900)  1 Os 2.61, 4 W 2.89-2.90
Os (0.6900, 0.6900, 0.5600)  1 Os 2.61, 4 W 2.89-2.90
W (0.0008, 0.0008, 0.7492)  2 W 2.65, 4 Os 2.89-2.90, 2 Th 2.91
W (0.2508, 0.2508, 0.9992)  2 W 2.65, 4 Os 2.89-2.90, 2 Th 2.91
W (0.7492, 0.7492, 0.0008)  2 W 2.65, 4 Os 2.89-2.90, 2 Th 2.91
W (0.9992, 0.9992, 0.2508)  2 W 2.65, 4 Os 2.89-2.90, 2 Th 2.91

Values from the calculation:
Symmetry: Fddd, No. 70
Calculated total energy: -119.7 eV per cell
V: 20.17 Å³/atom
Total moment: 0.00 μB per formula unit



[4]
Density functional theory data (PBE-GGA) for an optimized crystal structure of CoRe2Rh.

Cell: 4.6050 4.6050 4.7254 Å, 98.65 98.65 33.69°
Closest atoms and distances in Å follow each position.
Fractional coordinates of all 4 atoms:
Co (0.0000, 0.0000, 0.0000)  7 Re 2.57-2.75, 3 Rh 2.64-2.75, 2 Co 2.67
Re (0.2600, 0.2600, 0.7856)  3 Co 2.57-2.65, 4 Rh 2.63-2.80, 5 Re 2.67-2.75
Re (0.5054, 0.5054, 0.5111)  3 Rh 2.67, 5 Re 2.67-2.75, 4 Co 2.67-2.75
Rh (0.7568, 0.7568, 0.2631)  7 Re 2.63-2.80, 3 Co 2.64-2.75, 2 Rh 2.67

Values from the calculation:
Symmetry: Cm, No. 8
Calculated total energy: -39.3 eV per cell
V: 13.72 Å³/atom
Total moment: 0.00 μB per formula unit



[5]
Density functional theory data (PBE-GGA) for an optimized crystal structure of Fe2RePt.

Cell: 4.6360 4.6360 4.6360 Å, 132.66 132.66 69.18°
Closest atoms and distances in Å follow each position.
Fractional coordinates of all 4 atoms:
Fe (0.0000, 0.0000, 0.0000)  4 Pt 2.63, 4 Fe 2.67, 4 Re 2.67
Fe (0.7500, 0.2500, 0.5000)  4 Re 2.63, 4 Pt 2.67, 4 Fe 2.67
Re (0.2500, 0.7500, 0.5000)  8 Fe 2.63-2.67, 4 Pt 2.67
Pt (0.5000, 0.5000, 0.0000)  8 Fe 2.63-2.67, 4 Re 2.67

Values from the calculation:
Symmetry: I-4m2, No. 119
Calculated total energy: -35.5 eV per cell
V: 13.22 Å³/atom
Total moment: 3.36 μB per formula unit



[6]
Density functional theory data (PBE-GGA) for an optimized crystal structure of Pr8Cd2Hg.

Cell: 8.8664 8.8664 8.8841 Å, 119.55 119.55 36.69°
Closest atoms and distances in Å follow each position.
Fractional coordinates of all 11 atoms:
Pr (0.0712, 0.0712, 0.2214)  1 Cd 3.24, 3 Pr 3.38
Pr (0.1356, 0.1356, 0.6868)  3 Cd 3.29-3.45, 2 Hg 3.44
Pr (0.3199, 0.3199, 0.5505)  1 Hg 3.29, 1 Cd 3.33, 5 Pr 3.38-3.65
Pr (0.4089, 0.4089, 0.0537)  3 Cd 3.35-3.44, 1 Hg 3.43, 3 Pr 3.64-3.65
Pr (0.5911, 0.5911, 0.9463)  3 Cd 3.35-3.44, 1 Hg 3.43, 3 Pr 3.64-3.65
Pr (0.6801, 0.6801, 0.4495)  1 Hg 3.29, 1 Cd 3.33, 5 Pr 3.38-3.65
Pr (0.8644, 0.8644, 0.3132)  3 Cd 3.29-3.45, 2 Hg 3.44
Pr (0.9288, 0.9288, 0.7786)  1 Cd 3.24, 3 Pr 3.38
Cd (0.2290, 0.2290, 0.1167)  8 Pr 3.24-3.45
Cd (0.7710, 0.7710, 0.8833)  8 Pr 3.24-3.45
Hg (0.5000, 0.5000, 0.5000)  8 Pr 3.29-3.44

Values from the calculation:
Symmetry: C2/m, No. 12
Calculated total energy: -42.4 eV per cell
V: 32.41 Å³/atom
Total moment: 0.00 μB per formula unit



[7]
Density functional theory data (PBE-GGA) for an optimized crystal structure of PmGd2Co.

Cell: 10.4997 10.4997 10.4997 Å, 19.98 19.98 19.98°
Closest atoms and distances in Å follow each position.
Fractional coordinates of all 4 atoms:
Pm (0.0000, 0.0000, 0.0000)  2 Gd 3.51, 6 Pm 3.64
Gd (0.1138, 0.1138, 0.1138)  3 Co 2.66
Gd (0.8862, 0.8862, 0.8862)  3 Co 2.66
Co (0.5000, 0.5000, 0.5000)  6 Gd 2.66

Values from the calculation:
Symmetry: R-3m, No. 166
Calculated total energy: -39.5 eV per cell
V: 29.55 Å³/atom
Total moment: 15.02 μB per formula unit



[8]
Density functional theory data (PBE-GGA) for an optimized crystal structure of Na2BiSbO.

Cell: 4.6652 4.6652 4.9382 Å, 90.00 90.00 90.00°
Closest atoms and distances in Å follow each position.
Fractional coordinates of all 5 atoms:
Na (0.0000, 0.5000, 0.0000)  2 O 2.33
Na (0.5000, 0.0000, 0.0000)  2 O 2.33
Bi (0.0000, 0.0000, 0.5000)  2 O 2.47
Sb (0.5000, 0.5000, 0.5000)  4 Bi 3.30, 8 Na 3.40
O (0.0000, 0.0000, 0.0000)  4 Na 2.33, 2 Bi 2.47

Values from the calculation:
Symmetry: P4/mmm, No. 123
Energy relative to the elements, uncorrected: -0.7353 eV/atom
V: 21.50 Å³/atom
Total moment: 0.00 μB per formula unit



[9]
Density functional theory data (PBE-GGA) for an optimized crystal structure of RbSeF2.

Cell: 4.8236 4.8236 4.8236 Å, 60.00 60.00 60.00°
Closest atoms and distances in Å follow each position.
Fractional coordinates of all 4 atoms:
Rb (0.0000, 0.0000, 0.0000)  8 F 2.95
Se (0.5000, 0.5000, 0.5000)  8 F 2.95
F (0.2500, 0.2500, 0.2500)  4 Se 2.95, 4 Rb 2.95
F (0.7500, 0.7500, 0.7500)  4 Se 2.95, 4 Rb 2.95

Values from the calculation:
Symmetry: Fm-3m, No. 225
Energy relative to the elements, uncorrected: -1.1018 eV/atom
V: 19.84 Å³/atom
Total moment: 3.00 μB per formula unit



[10]
Density functional theory data (PBE-GGA) for an optimized crystal structure of ScTiBeGe2.

Cell: 4.8838 4.8838 4.5216 Å, 90.00 90.00 90.00°
Closest atoms and distances in Å follow each position.
Fractional coordinates of all 5 atoms:
Sc (0.0000, 0.0000, 0.0000)  2 Be 2.26, 4 Ge 2.44
Ti (0.5000, 0.5000, 0.5000)  8 Ge 3.33, 4 Be 3.45
Be (0.0000, 0.0000, 0.5000)  2 Sc 2.26
Ge (0.0000, 0.5000, 0.0000)  2 Sc 2.44
Ge (0.5000, 0.0000, 0.0000)  2 Sc 2.44

Values from the calculation:
Symmetry: P4/mmm, No. 123
Calculated total energy: -22.3 eV per cell
V: 21.57 Å³/atom
Total moment: 0.45 μB per formula unit



[11]
Density functional theory data (PBE-GGA) for an optimized crystal structure of AgTe2As.

Cell: 3.9222 4.0227 7.7460 Å, 90.00 90.00 90.00°
Closest atoms and distances in Å follow each position.
Fractional coordinates of all 4 atoms:
Ag (0.0000, 0.0000, 0.0000)  4 Te 2.81
Te (0.5000, 0.0000, 0.5000)  4 As 2.81
Te (0.5000, 0.5000, 0.0000)  4 Ag 2.81
As (0.0000, 0.5000, 0.5000)  4 Te 2.81

Values from the calculation:
Symmetry: Pmmm, No. 47
Energy relative to the elements, uncorrected: 0.3093 eV/atom
V: 30.55 Å³/atom
Total moment: 0.00 μB per formula unit



[12]
Density functional theory data (PBE-GGA) for an optimized crystal structure of Ba3Ac3YO8.

Cell: 7.7233 7.7233 7.7233 Å, 58.50 58.50 58.50°
Closest atoms and distances in Å follow each position.
Fractional coordinates of all 15 atoms:
Ba (0.0000, 0.5000, 0.5000)  6 O 2.84-2.87
Ba (0.5000, 0.0000, 0.5000)  6 O 2.84-2.87
Ba (0.5000, 0.5000, 0.0000)  6 O 2.84-2.87
Ac (0.0000, 0.0000, 0.5000)  6 O 2.57-2.58
Ac (0.0000, 0.5000, 0.0000)  6 O 2.57-2.58
Ac (0.5000, 0.0000, 0.0000)  6 O 2.57-2.58
Y (0.5000, 0.5000, 0.5000)  6 O 2.35
O (0.2383, 0.2383, 0.2383)  3 Ac 2.57, 3 Ba 2.84
O (0.2584, 0.7171, 0.7171)  1 Y 2.35, 2 Ac 2.58
O (0.2829, 0.2829, 0.7416)  1 Y 2.35, 2 Ac 2.58
O (0.2829, 0.7416, 0.2829)  1 Y 2.35, 2 Ac 2.58
O (0.7171, 0.2584, 0.7171)  1 Y 2.35, 2 Ac 2.58
O (0.7171, 0.7171, 0.2584)  1 Y 2.35, 2 Ac 2.58
O (0.7416, 0.2829, 0.2829)  1 Y 2.35, 2 Ac 2.58
O (0.7617, 0.7617, 0.7617)  3 Ac 2.57, 3 Ba 2.84

Values from the calculation:
Symmetry: R-3m, No. 166
Energy relative to the elements, uncorrected: -2.7971 eV/atom
V: 20.97 Å³/atom
Total moment: 0.00 μB per formula unit